[1]
Entry from the Alexandria database: crystalline Mg3NbSb at its relaxed geometry (PBE).

Computed properties:
Crystal system: cubic
Energy relative to the lowest polymorph listed for this composition: 0.094 eV/atom
Spin magnetization: 2.47 μB/f.u.
Formation energy without anion corrections: 1.1012 eV/atom

a = 5.342 Å, b = 5.342 Å, c = 5.342 Å
α = 90.00°, β = 90.00°, γ = 90.00°
Space group Pm-3m (No. 221)
One atom of each set of equivalent atoms:
Mg 0.000 0.000 0.500 (multiplicity 3)
Nb 0.000 0.000 0.000 (multiplicity 1)
Sb 0.500 0.500 0.500 (multiplicity 1)

---

[2]
Entry from the Alexandria database: crystalline YAuSe2 at its relaxed geometry (PBE).

Computed properties:
Crystal system: orthorhombic
Spin magnetization: 0.00 μB/f.u.
Formation energy without anion corrections: -1.0192 eV/atom

a = 3.887 Å, b = 26.973 Å, c = 3.887 Å
α = 90.00°, β = 90.00°, γ = 90.00°
Space group Cmcm (No. 63)
One atom of each set of equivalent atoms:
Y 0.000 0.173 0.250 (multiplicity 4)
Au 0.000 0.414 0.250 (multiplicity 4)
Se 0.000 0.072 0.250 (multiplicity 4)
Se 0.000 0.296 0.250 (multiplicity 4)

---

[3]
Entry from the Alexandria database: crystalline SrLiIr2 at its relaxed geometry (PBE).

Computed properties:
Crystal system: orthorhombic
Energy relative to the lowest polymorph listed for this composition: 0.074 eV/atom
Spin magnetization: 0.00 μB/f.u.
ΔH_f (0 K): 0.152 eV per atom

a = 2.999 Å, b = 4.780 Å, c = 9.529 Å
α = 90.00°, β = 90.00°, γ = 90.00°
Space group Immm (No. 71)
One atom of each set of equivalent atoms:
Sr 0.000 0.000 0.000 (multiplicity 2)
Li 0.000 0.000 0.500 (multiplicity 2)
Ir 0.000 0.500 0.230 (multiplicity 4)

---

Q: Which of these has the highest spin magnetization?
A: Mg3NbSb

---

Q: What is the spin magnetization in the third record?
A: 0.00 μB/f.u.

---

Q: Look up the spin magnetization of the second one.
A: 0.00 μB/f.u.

---

What did the third record say?
Entry from the Alexandria database: crystalline SrLiIr2 at its relaxed geometry (PBE).

Computed properties:
Crystal system: orthorhombic
Energy relative to the lowest polymorph listed for this composition: 0.074 eV/atom
Spin magnetization: 0.00 μB/f.u.
ΔH_f (0 K): 0.152 eV per atom

a = 2.999 Å, b = 4.780 Å, c = 9.529 Å
α = 90.00°, β = 90.00°, γ = 90.00°
Space group Immm (No. 71)
One atom of each set of equivalent atoms:
Sr 0.000 0.000 0.000 (multiplicity 2)
Li 0.000 0.000 0.500 (multiplicity 2)
Ir 0.000 0.500 0.230 (multiplicity 4)